First-principles (PBE) data for a relaxed structure of PuBeF5, as listed in the Alexandria database.

Calculated values
Its symmetry is C2/c (15). As for the raw formation energy: -3.438 eV per atom.

a = 5.748 Å, b = 5.748 Å, c = 8.798 Å
α = 66.69°, β = 66.69°, γ = 84.78°
Site moments in Bohr magnetons follow the coordinates.
Fractional coordinates of all 14 atoms:
F: 0.686 0.673 0.165  -0.01
F: 0.923 0.077 0.250  -0.03
F: 0.077 0.923 0.750  -0.03
F: 0.265 0.717 0.400  -0.01
F: 0.673 0.686 0.665  -0.01
F: 0.314 0.327 0.835  -0.01
F: 0.735 0.283 0.600  -0.01
F: 0.327 0.314 0.335  -0.01
F: 0.717 0.265 0.900  -0.01
F: 0.283 0.735 0.100  -0.01
Be: 0.392 0.608 0.250  0.00
Be: 0.608 0.392 0.750  0.00
Pu: 0.000 0.000 0.500  5.00
Pu: 0.000 0.000 0.000  5.00